# TaFeRe2Mo

A relaxed structure of TaFeRe2Mo (PBE-GGA, Alexandria via LeMat-Bulk). Values from VASP.

Computed properties:
DOS at the Fermi energy = 3.80 states/eV per cell
space group = P4/mmm (123)
E_tot = -47.1 eV for the cell shown
formation enthalpy at 0 K = 1.79 eV per atom

Geometry as Quantum ESPRESSO input:
```
&SYSTEM
  ibrav = 0, nat = 5, ntyp = 4
/
ATOMIC_SPECIES
Ta 180.95 Ta.upf
Fe 55.84 Fe.upf
Re 186.21 Re.upf
Mo 95.94 Mo.upf
CELL_PARAMETERS angstrom
4.675 0.000 0.000
0.000 4.675 0.000
0.000 0.000 4.295
ATOMIC_POSITIONS angstrom
Ta 0.000 0.000 0.000
Fe 2.337 2.337 0.000
Re 0.000 2.337 2.147
Re 2.337 0.000 2.147
Mo 2.337 2.337 2.147
```